Entry from the Alexandria database: a relaxed structure of PrDyCoCu (GGA-PBE).

## Properties
- Total energy: -5.28 eV/atom
- Distance to the lowest polymorph of the same formula: 0.0000 eV per atom
- ΔH_f (0 K): -13 kJ per mole of atoms
- N(E_F): 3.4 states/eV/f.u.

The structure in CIF format:
```
data_PrDyCoCu
_cell_length_a 4.3501
_cell_length_b 3.8712
_cell_length_c 10.3173
_cell_angle_alpha 90.00
_cell_angle_beta 90.00
_cell_angle_gamma 90.00
_space_group_name_H-M_alt 'A m m 2'
_space_group_IT_number 38
_space_group_name_Hall 'A 2 -2'
loop_
_atom_site_label
_atom_site_type_symbol
_atom_site_fract_x
_atom_site_fract_y
_atom_site_fract_z
Pr1 Pr 0.0000 0.0000 0.0000
Dy1 Dy 0.5000 0.0000 0.7190
Co1 Co 0.0000 0.0000 0.2826
Cu1 Cu 0.5000 0.0000 0.4200
```

=====

Entry from the Alexandria database: a relaxed structure of PrDyCoCu (GGA-PBE).

## Properties
- Total energy: -5.23 eV/atom
- Distance to the lowest polymorph of the same formula: 0.0460 eV per atom
- ΔH_f (0 K): -9 kJ per mole of atoms
- N(E_F): 3.7 states/eV/f.u.

The structure in CIF format:
```
data_PrDyCoCu
_cell_length_a 6.9574
_cell_length_b 6.9574
_cell_length_c 6.9574
_cell_angle_alpha 90.00
_cell_angle_beta 90.00
_cell_angle_gamma 90.00
_space_group_name_H-M_alt 'F -4 3 m'
_space_group_IT_number 216
_space_group_name_Hall 'F -4 2 3'
loop_
_atom_site_label
_atom_site_type_symbol
_atom_site_fract_x
_atom_site_fract_y
_atom_site_fract_z
Pr1 Pr 0.0000 0.0000 0.0000
Dy1 Dy 0.0000 0.0000 0.5000
Co1 Co 0.2500 0.2500 0.2500
Cu1 Cu 0.2500 0.2500 0.7500
```

=====

Entry from the Alexandria database: a relaxed structure of DyPuCoCu (GGA-PBE).

## Properties
- Total energy: -7.54 eV/atom
- ΔH_f (0 K): -1 kJ per mole of atoms
- N(E_F): 11.5 states/eV/f.u.

The structure in CIF format:
```
data_DyPuCoCu
_cell_length_a 6.7976
_cell_length_b 6.7976
_cell_length_c 6.7976
_cell_angle_alpha 90.00
_cell_angle_beta 90.00
_cell_angle_gamma 90.00
_space_group_name_H-M_alt 'F -4 3 m'
_space_group_IT_number 216
_space_group_name_Hall 'F -4 2 3'
loop_
_atom_site_label
_atom_site_type_symbol
_atom_site_fract_x
_atom_site_fract_y
_atom_site_fract_z
Dy1 Dy 0.0000 0.0000 0.0000
Pu1 Pu 0.0000 0.0000 0.5000
Co1 Co 0.2500 0.2500 0.2500
Cu1 Cu 0.2500 0.2500 0.7500
```

=====

Entry from the Alexandria database: a relaxed structure of DyScCoCu (GGA-PBE).

## Properties
- Total energy: -5.76 eV/atom
- ΔH_f (0 K): -21 kJ per mole of atoms
- N(E_F): 3.8 states/eV/f.u.

The structure in CIF format:
```
data_DyScCoCu
_cell_length_a 6.6003
_cell_length_b 6.6003
_cell_length_c 6.6003
_cell_angle_alpha 90.00
_cell_angle_beta 90.00
_cell_angle_gamma 90.00
_space_group_name_H-M_alt 'F -4 3 m'
_space_group_IT_number 216
_space_group_name_Hall 'F -4 2 3'
loop_
_atom_site_label
_atom_site_type_symbol
_atom_site_fract_x
_atom_site_fract_y
_atom_site_fract_z
Dy1 Dy 0.0000 0.0000 0.0000
Sc1 Sc 0.0000 0.0000 0.5000
Co1 Co 0.2500 0.2500 0.2500
Cu1 Cu 0.2500 0.2500 0.7500
```

=====

Entry from the Alexandria database: a relaxed structure of DyYCoCu (GGA-PBE).

## Properties
- Total energy: -5.78 eV/atom
- Distance to the lowest polymorph of the same formula: 0.0000 eV per atom
- ΔH_f (0 K): -21 kJ per mole of atoms
- N(E_F): 4.0 states/eV/f.u.

The structure in CIF format:
```
data_DyYCoCu
_cell_length_a 4.0921
_cell_length_b 3.8819
_cell_length_c 10.4093
_cell_angle_alpha 90.00
_cell_angle_beta 90.00
_cell_angle_gamma 90.00
_space_group_name_H-M_alt 'A m m 2'
_space_group_IT_number 38
_space_group_name_Hall 'A 2 -2'
loop_
_atom_site_label
_atom_site_type_symbol
_atom_site_fract_x
_atom_site_fract_y
_atom_site_fract_z
Dy1 Dy 0.0000 0.0000 0.0000
Y1 Y 0.5000 0.0000 0.7182
Co1 Co 0.5000 0.0000 0.4333
Cu1 Cu 0.0000 0.0000 0.2946
```

=====

Entry from the Alexandria database: a relaxed structure of DyYCoCu (GGA-PBE).

## Properties
- Total energy: -5.75 eV/atom
- Distance to the lowest polymorph of the same formula: 0.0314 eV per atom
- ΔH_f (0 K): -18 kJ per mole of atoms
- N(E_F): 3.4 states/eV/f.u.

The structure in CIF format:
```
data_DyYCoCu
_cell_length_a 6.8158
_cell_length_b 6.8158
_cell_length_c 6.8158
_cell_angle_alpha 90.00
_cell_angle_beta 90.00
_cell_angle_gamma 90.00
_space_group_name_H-M_alt 'F -4 3 m'
_space_group_IT_number 216
_space_group_name_Hall 'F -4 2 3'
loop_
_atom_site_label
_atom_site_type_symbol
_atom_site_fract_x
_atom_site_fract_y
_atom_site_fract_z
Dy1 Dy 0.0000 0.0000 0.0000
Y1 Y 0.0000 0.0000 0.5000
Co1 Co 0.2500 0.2500 0.2500
Cu1 Cu 0.2500 0.2500 0.7500
```